The following is a PBE calculation of an optimized crystal structure of LuMgPd, from Alexandria via LeMat-Bulk.

Its space group is I4mm, No. 107. For the energy of formation from the pure elements, the calculation gives -0.5884 eV/atom. For the size of the total moment, the calculation gives 0.0 μB per cell.

abc: 5.729 5.729 5.729
angles: 144.63 144.63 50.88
Atoms (fractional coordinates):
Lu (0.000, 0.000, 0.000)
Mg (0.709, 0.709, 0.000)
Pd (0.351, 0.351, 0.000)

***

The following is a PBE calculation of an optimized crystal structure of Cr2As2Au, from Alexandria via LeMat-Bulk.

Its space group is P4/mbm, No. 127. For the energy of formation from the pure elements, the calculation gives 0.0920 eV/atom. For the size of the total moment, the calculation gives 5.9 μB per cell.

abc: 7.030 7.030 3.103
angles: 90.00 90.00 90.00
Atoms (fractional coordinates):
Cr (0.137, 0.363, 0.000)
Cr (0.363, 0.863, 0.000)
Cr (0.637, 0.137, 0.000)
Cr (0.863, 0.637, 0.000)
As (0.152, 0.652, 0.500)
As (0.348, 0.152, 0.500)
As (0.652, 0.848, 0.500)
As (0.848, 0.348, 0.500)
Au (0.000, 0.000, 0.000)
Au (0.500, 0.500, 0.000)

***

The following is a PBE calculation of an optimized crystal structure of La5GeBi2, from Alexandria via LeMat-Bulk.

Its space group is Pbam, No. 55. For the energy of formation from the pure elements, the calculation gives -0.8081 eV/atom. For the size of the total moment, the calculation gives 0.0 μB per cell.

abc: 8.636 13.153 4.729
angles: 90.00 90.00 90.00
Atoms (fractional coordinates):
La (0.000, 0.000, 0.000)
La (0.138, 0.293, 0.000)
La (0.203, 0.563, 0.500)
La (0.297, 0.063, 0.500)
La (0.362, 0.793, 0.000)
La (0.500, 0.500, 0.000)
La (0.638, 0.207, 0.000)
La (0.703, 0.937, 0.500)
La (0.797, 0.437, 0.500)
La (0.862, 0.707, 0.000)
Ge (0.000, 0.500, 0.000)
Ge (0.500, 0.000, 0.000)
Bi (0.085, 0.825, 0.500)
Bi (0.415, 0.325, 0.500)
Bi (0.585, 0.675, 0.500)
Bi (0.915, 0.175, 0.500)

***

Which of these has the highest size of the total moment?
Cr2As2Au